Computed, not measured: a relaxed BaCl5 crystal at the GGA-PBE level of DFT.

The structure in POSCAR format:
```
BaCl5
1.0
0.9211 4.1243 -3.3864
-1.4862 0.9765 5.1151
7.6169 0.1004 2.1940
Cl Ba
5 1
direct
0.0000 0.5000 0.5000
0.5000 0.0000 0.5000
0.5000 0.5000 0.5000
0.3333 0.6667 0.0000
0.6667 0.3333 0.0000
0.0000 0.0000 0.0000
```

Summary:
* V: 33.56 A^3/atom
* SG: P6/mmm, No. 191
* raw total energy: -16.54 eV per cell
* DOS at the Fermi energy: 5.1 states/eV per cell